# 1
Entry from Alexandria via LeMat-Bulk: crystalline KRbSb2Pb2 at its relaxed geometry (PBE-GGA).

```
6
Lattice="-5.323 2.027 -0.085 2.174 -2.491 -4.639 -2.766 -7.156 2.546" Properties=species:S:1:pos:R:3 pbc="T T T"
K -1.383 -3.578 1.273
Rb 0.000 0.000 0.000
Sb -1.107 -3.008 -2.401
Sb -4.807 -4.612 0.223
Pb -2.201 -5.839 -1.394
Pb -3.713 -1.781 -0.784
```

Calculated values
Total DFT energy (no corrections), eV per atom: -3.217
Formation energy (no corrections), eV/atom: -0.262



# 2
Entry from Alexandria via LeMat-Bulk: crystalline HgSb4Cl at its relaxed geometry (PBE-GGA).

```
6
Lattice="0.000 4.509 4.509 4.509 0.000 4.509 4.509 4.509 0.000" Properties=species:S:1:pos:R:3 pbc="T T T"
Hg 0.000 0.000 0.000
Sb 3.479 5.539 5.539
Sb 5.539 5.539 3.479
Sb 5.539 3.479 5.539
Sb 3.479 3.479 3.479
Cl 6.764 6.764 6.764
```

Calculated values
Total DFT energy (no corrections), eV per atom: -3.009
Formation energy (no corrections), eV/atom: 0.098



- What is the formula in the second record?
  HgSb4Cl



- Number 2 is which compound?
  HgSb4Cl



- Which of these has the highest formation energy (no corrections)?
  HgSb4Cl



- The highest total DFT energy (no corrections) belongs to which entry?
  HgSb4Cl